VASP calculation (PBE) on a relaxed Pr3Nd4Cd crystal.

Structure (POSCAR):
```
Pr3Nd4Cd
1.0
5.106 0.000 0.000
0.000 10.263 0.000
0.000 0.000 10.208
Pr Nd Cd
6 8 2
direct
0.250 0.002 0.117
0.250 0.498 0.117
0.250 0.750 0.878
0.750 0.250 0.122
0.750 0.502 0.883
0.750 0.998 0.883
0.250 0.005 0.632
0.250 0.250 0.374
0.250 0.495 0.632
0.250 0.750 0.371
0.750 0.250 0.629
0.750 0.505 0.368
0.750 0.750 0.626
0.750 0.995 0.368
0.250 0.250 0.874
0.750 0.750 0.126
```

Size of the total moment (μB/atom): 0.000
Volume (Å³/atom): 33.43
ΔE_f (eV/atom): -0.04
DFT total energy (eV/cell): -69.21
Energy relative to the lowest polymorph listed for this composition (meV per atom): 35
Crystal system: orthorhombic

VASP calculation (PBE) on a relaxed NaAlTeP2 crystal.

Structure (POSCAR):
```
NaAlTeP2
1.0
4.942 0.000 0.000
0.000 4.942 0.000
0.000 0.000 5.126
Na Al Te P
1 1 1 2
direct
0.000 0.000 0.000
0.000 0.000 0.500
0.500 0.500 0.500
0.000 0.500 0.000
0.500 0.000 0.000
```

Size of the total moment (μB/atom): 0.000
Volume (Å³/atom): 25.04
DFT total energy (eV/cell): -13.22
Formation energy from raw total energies (eV per formula unit): 5.8
Crystal system: tetragonal

Please write out number 1 again, unchanged.
VASP calculation (PBE) on a relaxed Pr3Nd4Cd crystal.

Structure (POSCAR):
```
Pr3Nd4Cd
1.0
5.106 0.000 0.000
0.000 10.263 0.000
0.000 0.000 10.208
Pr Nd Cd
6 8 2
direct
0.250 0.002 0.117
0.250 0.498 0.117
0.250 0.750 0.878
0.750 0.250 0.122
0.750 0.502 0.883
0.750 0.998 0.883
0.250 0.005 0.632
0.250 0.250 0.374
0.250 0.495 0.632
0.250 0.750 0.371
0.750 0.250 0.629
0.750 0.505 0.368
0.750 0.750 0.626
0.750 0.995 0.368
0.250 0.250 0.874
0.750 0.750 0.126
```

Size of the total moment (μB/atom): 0.000
Volume (Å³/atom): 33.43
ΔE_f (eV/atom): -0.04
DFT total energy (eV/cell): -69.21
Energy relative to the lowest polymorph listed for this composition (meV per atom): 35
Crystal system: orthorhombic

What did the first record say?
VASP calculation (PBE) on a relaxed Pr3Nd4Cd crystal.

Structure (POSCAR):
```
Pr3Nd4Cd
1.0
5.106 0.000 0.000
0.000 10.263 0.000
0.000 0.000 10.208
Pr Nd Cd
6 8 2
direct
0.250 0.002 0.117
0.250 0.498 0.117
0.250 0.750 0.878
0.750 0.250 0.122
0.750 0.502 0.883
0.750 0.998 0.883
0.250 0.005 0.632
0.250 0.250 0.374
0.250 0.495 0.632
0.250 0.750 0.371
0.750 0.250 0.629
0.750 0.505 0.368
0.750 0.750 0.626
0.750 0.995 0.368
0.250 0.250 0.874
0.750 0.750 0.126
```

Size of the total moment (μB/atom): 0.000
Volume (Å³/atom): 33.43
ΔE_f (eV/atom): -0.04
DFT total energy (eV/cell): -69.21
Energy relative to the lowest polymorph listed for this composition (meV per atom): 35
Crystal system: orthorhombic